# TaP2Cl, relaxed, DFT GGA-PBE
data_TaP2Cl
_chemical_formula_sum 'Ta1 P2 Cl1'
_cell_length_a 3.153
_cell_length_b 3.153
_cell_length_c 7.820
_cell_angle_alpha 90.00
_cell_angle_beta 90.00
_cell_angle_gamma 90.00
_space_group_name_H-M_alt 'P 4 m m'
_space_group_IT_number 99
_space_group_name_Hall 'P 4 -2'
loop_
_atom_site_label
_atom_site_fract_x
_atom_site_fract_y
_atom_site_fract_z
Ta1 0.000 0.000 0.000
P1 0.000 0.000 0.683
P2 0.500 0.500 0.827
Cl1 0.500 0.500 0.217
# **Raw total energy**: -6.403 eV/atom
# **Raw formation energy**: -1.1 eV/f.u.
# **D(E_F)**: 0.367 states/eV/atom
# **Energy relative to the lowest polymorph listed for this composition**: 194 meV/atom